CaCoSi3 PBE-GGA optimized geometry; uncorrected energy = -3.086 eV per atom
1.0
5.1525 0.0000 0.0000
0.0000 5.1525 0.0000
0.0000 0.0000 5.1525
Ca Co Si
1 1 3
Direct
0.0000 0.0000 0.0000
0.5000 0.5000 0.5000
0.0000 0.0000 0.5000
0.0000 0.5000 0.0000
0.5000 0.0000 0.0000

=====

TbTm5Ni2 PBE-GGA optimized geometry; uncorrected energy = -5.000 eV per atom; E_form = -140 kJ/mol of formula units
1.0
2.4270 -5.8076 0.0000
2.4270 5.8076 0.0000
0.0000 0.0000 14.3099
Tb Tm Ni
2 10 4
Direct
0.1221 0.8779 0.7500
0.8779 0.1221 0.2500
0.1545 0.8455 0.5209
0.1545 0.8455 0.9791
0.1750 0.8250 0.2500
0.4525 0.5475 0.6211
0.4525 0.5475 0.8789
0.5475 0.4525 0.1211
0.5475 0.4525 0.3789
0.8250 0.1750 0.7500
0.8455 0.1545 0.0209
0.8455 0.1545 0.4791
0.3229 0.6771 0.1072
0.3229 0.6771 0.3928
0.6771 0.3229 0.6072
0.6771 0.3229 0.8928

=====

Ba2YbCu4O8 PBE-GGA optimized geometry; uncorrected energy = -5.655 eV per atom
1.0
1.9396 -13.8386 0.0000
1.9396 13.8386 0.0000
0.0000 0.0000 3.8825
Ba Yb Cu O
2 1 4 8
Direct
0.1345 0.8655 0.0000
0.8655 0.1345 0.0000
0.0000 0.0000 0.0000
0.2865 0.7135 0.5000
0.4393 0.5607 0.5000
0.5607 0.4393 0.5000
0.7135 0.2865 0.5000
0.0528 0.9472 0.5000
0.2182 0.7818 0.5000
0.3529 0.6471 0.5000
0.4468 0.5532 0.0000
0.5532 0.4468 0.0000
0.6471 0.3529 0.5000
0.7818 0.2182 0.5000
0.9472 0.0528 0.5000

=====

KTi2HSe PBE-GGA optimized geometry; uncorrected energy = -3.351 eV per atom
1.0
5.2378 0.0000 0.0000
0.0000 5.2378 0.0000
0.0000 0.0000 3.9193
K Ti H Se
1 2 1 1
Direct
0.0000 0.0000 0.0000
0.0000 0.5000 0.0000
0.5000 0.0000 0.0000
0.0000 0.0000 0.5000
0.5000 0.5000 0.5000

=====

Li2CuRh PBE-GGA optimized geometry; uncorrected energy = -3.885 eV per atom; E_form = -26 kJ/mol of formula units
1.0
1.3352 0.7709 8.6640
-1.3352 0.7709 8.6640
0.0000 -1.5418 8.6640
Li Cu Rh
2 1 1
Direct
0.2486 0.2486 0.2486
0.7514 0.7514 0.7514
0.0000 0.0000 0.0000
0.5000 0.5000 0.5000

=====

Tl2ZnAu2 PBE-GGA optimized geometry; uncorrected energy = -2.340 eV per atom; E_form = 83 kJ/mol of formula units
1.0
8.1743 0.0000 0.0000
0.0000 8.1743 0.0000
0.0000 0.0000 3.7102
Tl Zn Au
4 2 4
Direct
0.1759 0.3241 0.0000
0.3241 0.8241 0.0000
0.6759 0.1759 0.0000
0.8241 0.6759 0.0000
0.0000 0.0000 0.0000
0.5000 0.5000 0.0000
0.1237 0.6237 0.5000
0.3763 0.1237 0.5000
0.6237 0.8763 0.5000
0.8763 0.3763 0.5000

=====

RbCu3SnSe4 PBE-GGA optimized geometry; uncorrected energy = -3.654 eV per atom
1.0
6.4035 0.0000 0.0000
0.0000 6.4035 0.0000
0.0000 0.0000 6.4035
Rb Cu Sn Se
1 3 1 4
Direct
0.0000 0.0000 0.0000
0.0000 0.5000 0.5000
0.5000 0.0000 0.5000
0.5000 0.5000 0.0000
0.5000 0.5000 0.5000
0.2756 0.2756 0.7244
0.2756 0.7244 0.2756
0.7244 0.2756 0.2756
0.7244 0.7244 0.7244

=====

BaCu2Ru PBE-GGA optimized geometry; uncorrected energy = -4.040 eV per atom; E_form = 312 kJ/mol of formula units
1.0
0.0000 3.3668 3.3668
3.3668 0.0000 3.3668
3.3668 3.3668 0.0000
Ba Cu Ru
1 2 1
Direct
0.0000 0.0000 0.0000
0.2500 0.2500 0.2500
0.5000 0.5000 0.5000
0.7500 0.7500 0.7500

=====

HoFeCoGe2 PBE-GGA optimized geometry; uncorrected energy = -6.421 eV per atom; E_form = -263 kJ/mol of formula units
1.0
-1.9975 1.9975 4.9616
1.9975 -1.9975 4.9616
1.9975 1.9975 -4.9616
Ho Fe Co Ge
1 1 1 2
Direct
0.0000 0.0000 0.0000
0.7500 0.2500 0.5000
0.2500 0.7500 0.5000
0.3700 0.3700 0.0000
0.6300 0.6300 0.0000

=====

PaSbF6 PBE-GGA optimized geometry; uncorrected energy = -5.477 eV per atom
1.0
2.4126 1.3929 5.9017
-2.4126 1.3929 5.9017
0.0000 -2.7858 5.9017
Pa Sb F
1 1 6
Direct
0.0000 0.0000 0.0000
0.5000 0.5000 0.5000
0.0666 0.5712 0.5712
0.4288 0.4288 0.9334
0.4288 0.9334 0.4288
0.5712 0.0666 0.5712
0.5712 0.5712 0.0666
0.9334 0.4288 0.4288

=====

Ho2BiC PBE-GGA optimized geometry; uncorrected energy = -6.156 eV per atom; E_form = -228 kJ/mol of formula units
1.0
1.8307 1.0570 7.7884
-1.8307 1.0570 7.7884
0.0000 -2.1139 7.7884
Ho Bi C
2 1 1
Direct
0.2226 0.2226 0.2226
0.7774 0.7774 0.7774
0.0000 0.0000 0.0000
0.5000 0.5000 0.5000

=====

CaHgRh PBE-GGA optimized geometry; uncorrected energy = -2.963 eV per atom; E_form = 74 kJ/mol of formula units
1.0
0.0000 3.3389 3.3389
3.3389 0.0000 3.3389
3.3389 3.3389 0.0000
Ca Hg Rh
1 1 1
Direct
0.0000 0.0000 0.0000
0.2500 0.2500 0.2500
0.7500 0.7500 0.7500

=====

ZrCdI2 PBE-GGA optimized geometry; uncorrected energy = -3.092 eV per atom
1.0
0.0000 3.8133 3.8133
3.8133 0.0000 3.8133
3.8133 3.8133 0.0000
Zr Cd I
1 1 2
Direct
0.0000 0.0000 0.0000
0.5000 0.5000 0.5000
0.2500 0.2500 0.2500
0.7500 0.7500 0.7500

=====

MgCo3B3 PBE-GGA optimized geometry; uncorrected energy = -6.019 eV per atom; E_form = 78 kJ/mol of formula units
1.0
5.3957 0.0000 0.0000
0.0000 5.3957 0.0000
0.0000 0.0000 5.3957
Mg Co B
2 6 6
Direct
0.0000 0.0000 0.0000
0.5000 0.5000 0.5000
0.0000 0.2500 0.5000
0.0000 0.7500 0.5000
0.2500 0.5000 0.0000
0.5000 0.0000 0.2500
0.5000 0.0000 0.7500
0.7500 0.5000 0.0000
0.0000 0.5000 0.2500
0.0000 0.5000 0.7500
0.2500 0.0000 0.5000
0.5000 0.2500 0.0000
0.5000 0.7500 0.0000
0.7500 0.0000 0.5000

=====

Li2CoPtN PBE-GGA optimized geometry; uncorrected energy = -5.309 eV per atom
1.0
4.0046 0.0000 0.0000
0.0000 4.0046 0.0000
0.0000 0.0000 3.4688
Li Co Pt N
2 1 1 1
Direct
0.0000 0.5000 0.0000
0.5000 0.0000 0.0000
0.0000 0.0000 0.5000
0.5000 0.5000 0.5000
0.0000 0.0000 0.0000

=====

Pa7As PBE-GGA optimized geometry; uncorrected energy = -9.157 eV per atom; E_form = -206 kJ/mol of formula units
1.0
0.0000 4.5503 4.5503
4.5503 0.0000 4.5503
4.5503 4.5503 0.0000
Pa As
7 1
Direct
0.0000 0.0000 0.0000
0.0000 0.0000 0.5000
0.0000 0.5000 0.0000
0.0000 0.5000 0.5000
0.5000 0.0000 0.0000
0.5000 0.0000 0.5000
0.5000 0.5000 0.0000
0.5000 0.5000 0.5000

=====

SrMnTe2 PBE-GGA optimized geometry; uncorrected energy = -4.753 eV per atom
1.0
0.0000 3.8680 3.8680
3.8680 0.0000 3.8680
3.8680 3.8680 0.0000
Sr Mn Te
1 1 2
Direct
0.0000 0.0000 0.0000
0.5000 0.5000 0.5000
0.2500 0.2500 0.2500
0.7500 0.7500 0.7500

=====

HoTmNiHg PBE-GGA optimized geometry; uncorrected energy = -4.162 eV per atom; E_form = -146 kJ/mol of formula units
1.0
0.0000 3.5364 3.5364
3.5364 0.0000 3.5364
3.5364 3.5364 0.0000
Ho Tm Ni Hg
1 1 1 1
Direct
0.0000 0.0000 0.0000
0.5000 0.5000 0.5000
0.7500 0.7500 0.7500
0.2500 0.2500 0.2500

=====

CuCI3 PBE-GGA optimized geometry; uncorrected energy = -2.248 eV per atom
1.0
5.0575 0.0000 0.0000
0.0000 5.0575 0.0000
0.0000 0.0000 5.0575
Cu C I
1 1 3
Direct
0.0000 0.0000 0.0000
0.5000 0.5000 0.5000
0.0000 0.5000 0.5000
0.5000 0.0000 0.5000
0.5000 0.5000 0.0000

=====

ReHg2Pb PBE-GGA optimized geometry; uncorrected energy = -3.337 eV per atom; E_form = 329 kJ/mol of formula units
1.0
2.9564 0.0000 0.0000
0.0000 4.1440 0.0000
0.0000 0.0000 7.2994
Re Hg Pb
1 2 1
Direct
0.0000 0.0000 0.0000
0.5000 0.5000 0.2026
0.5000 0.5000 0.7974
0.0000 0.0000 0.5000